HgBPd3 after structural relaxation. Source: the Alexandria database, functional GGA-PBE.

Density ... 6.8 Mg/m³
Energy relative to the lowest polymorph listed for this composition ... 46.800 kcal/mol of atoms
ΔE_f ... 178.5 kJ/mol of atoms
V ... 130.5 Å³ per cell
N(E_F) ... 8.51 states/eV/cell

Unit cell a=5.073 b=5.073 c=5.073 alpha=90.00 beta=90.00 gamma=90.00
Atoms (fractional coordinates):
Pd: 0.500 0.000 0.000
Pd: 0.000 0.500 0.000
Pd: 0.000 0.000 0.500
B: 0.500 0.500 0.500
Hg: 0.000 0.000 0.000